Entry from the Alexandria database: an optimized crystal structure of BeNbAu2 (PBE-GGA).

Properties
* ΔE_f: -0.134 eV per atom
* space group: No. 123
* Fermi-level density of states: 3.00 states/eV/cell

Cell: 2.918 2.918 7.228 Å, 90.00 90.00 90.00°
Atoms (fractional coordinates):
Be 0.000 0.000 0.000
Nb 0.000 0.000 0.500
Au 0.500 0.500 0.205
Au 0.500 0.500 0.795